(1)
Material: LiSbPb
Method: DFT, PBE-GGA
State: optimized geometry

- magnetization (μB/f.u.) = 0.00
- E_tot (eV for the cell shown) = -20.31
- raw formation energy (meV/atom) = -136

Geometry as CIF:
```
data_LiSbPb
_chemical_formula_sum 'Li2 Sb2 Pb2'
_cell_length_a 3.304
_cell_length_b 3.304
_cell_length_c 13.740
_cell_angle_alpha 90.00
_cell_angle_beta 90.00
_cell_angle_gamma 90.00
_symmetry_space_group_name_H-M 'I 4 m m'
_symmetry_Int_Tables_number 107
_symmetry_space_group_name_Hall 'I 4 -2'
loop_
_atom_site_label
_atom_site_type_symbol
_atom_site_fract_x
_atom_site_fract_y
_atom_site_fract_z
_atom_site_occupancy
Li1 Li 0.000 0.000 0.000 1
Sb1 Sb 0.000 0.000 0.373 1
Pb1 Pb 0.000 0.000 0.649 1
```

***

(2)
Material: LiSb2Pb
Method: DFT, PBE-GGA
State: optimized geometry

- magnetization (μB/f.u.) = 0.00
- E_tot (eV for the cell shown) = -14.05
- raw formation energy (meV/atom) = -45

Geometry as CIF:
```
data_LiSb2Pb
_chemical_formula_sum 'Li1 Sb2 Pb1'
_cell_length_a 3.954
_cell_length_b 3.954
_cell_length_c 6.842
_cell_angle_alpha 90.00
_cell_angle_beta 90.00
_cell_angle_gamma 90.00
_symmetry_space_group_name_H-M 'P 4 m m'
_symmetry_Int_Tables_number 99
loop_
_symmetry_equiv_pos_as_xyz
'x,y,z'
'-y,x,z'
'-x,-y,z'
'y,-x,z'
'-x,y,z'
'y,x,z'
'x,-y,z'
'-y,-x,z'
loop_
_atom_site_label
_atom_site_type_symbol
_atom_site_fract_x
_atom_site_fract_y
_atom_site_fract_z
_atom_site_occupancy
Li1 Li 0.000 0.000 0.000 1
Sb1 Sb 0.000 0.000 0.565 1
Sb2 Sb 0.500 0.500 0.769 1
Pb1 Pb 0.500 0.500 0.237 1
```

***

(3)
Material: LiSb2Pb
Method: DFT, PBE-GGA
State: optimized geometry

- magnetization (μB/f.u.) = 0.00
- E_tot (eV for the cell shown) = -14.30
- raw formation energy (meV/atom) = -109

Geometry as CIF:
```
data_LiSb2Pb
_chemical_formula_sum 'Li1 Sb2 Pb1'
_cell_length_a 4.613
_cell_length_b 4.814
_cell_length_c 4.825
_cell_angle_alpha 90.00
_cell_angle_beta 90.00
_cell_angle_gamma 90.00
_symmetry_space_group_name_H-M 'P m m m'
_symmetry_Int_Tables_number 47
loop_
_symmetry_equiv_pos_as_xyz
'x,y,z'
'-x,-y,-z'
'-x,-y,z'
'x,y,-z'
'x,-y,-z'
'-x,y,z'
'-x,y,-z'
'x,-y,z'
loop_
_atom_site_label
_atom_site_type_symbol
_atom_site_fract_x
_atom_site_fract_y
_atom_site_fract_z
_atom_site_occupancy
Li1 Li 0.000 0.000 0.000 1
Sb1 Sb 0.500 0.000 0.500 1
Sb2 Sb 0.500 0.500 0.000 1
Pb1 Pb 0.000 0.500 0.500 1
```